Below is BeBi after structural relaxation, with properties calculated at the PBE-GGA level.

Summary:
DOS(E_F) ... 0.64 states/eV/cell
Uncorrected energy ... -14.05 eV for the cell shown
Formation energy from the elements ... 0.29 eV per atom
Energy relative to the lowest polymorph listed for this composition ... 0.018 eV per atom
Space group ... P-1
Magnetic moment ... 0.00 μB/atom
Calculated volume ... 24.60 A^3/atom

a = 3.630 Å, b = 3.768 Å, c = 8.112 Å
α = 89.57°, β = 89.79°, γ = 62.48°
Fractional positions:
Be  0.165  0.182  0.442
Be  0.835  0.818  0.558
Bi  0.165  0.176  0.751
Bi  0.835  0.824  0.249